The following is a PBE-GGA calculation of a relaxed structure of Sr2LiAg3, from Alexandria.

Results
**Space group**: No. 69
**Calculated total energy**: -0.188 Ry/atom
**Energy relative to the elements**: -0.2459 eV/atom

Cell lengths 6.342, 6.342, 9.244 Å; angles 107.10, 107.10, 98.22 degrees
Positions (direct):
Ag  0.657  0.172  0.829
Ag  0.171  0.171  0.341
Ag  0.343  0.828  0.171
Ag  0.172  0.657  0.829
Ag  0.829  0.829  0.659
Ag  0.828  0.343  0.171
Sr  0.245  0.245  0.000
Sr  0.750  0.250  0.500
Sr  0.250  0.750  0.500
Sr  0.755  0.755  0.000
Li  0.667  0.667  0.334
Li  0.333  0.333  0.666